w:
The following is a PBE calculation of crystalline TiV2S6 at its relaxed geometry, from the Alexandria database.

Structure (POSCAR):
```
TiV2S6
1.0
-2.5231 0.2219 3.3515
0.2933 -5.2576 3.2017
4.6080 1.1914 6.0229
S V Ti
6 2 1
Direct
0.0305 0.1655 0.7735 S
0.2987 0.3529 0.0496 S
0.3579 0.6646 0.6196 S
0.9695 0.8345 0.2265 S
0.7013 0.6471 0.9504 S
0.6421 0.3354 0.3804 S
0.8543 0.2109 0.0806 V
0.1457 0.7891 0.9194 V
0.0000 0.5000 0.5000 Ti
```

Calculated values
D(E_F) ... 0.355 states/eV/atom



x:
The following is a PBE calculation of crystalline TiV2S6 at its relaxed geometry, from the Alexandria database.

Structure (POSCAR):
```
TiV2S6
1.0
3.1809 0.0000 -0.7288
-0.5400 7.1033 -2.3569
0.1992 -0.7123 8.1751
S Ti V
6 1 2
Direct
0.0090 0.2417 0.0180 S
0.6636 0.1049 0.3271 S
0.3281 0.4295 0.6562 S
0.9910 0.7583 0.9820 S
0.3364 0.8951 0.6729 S
0.6719 0.5705 0.3438 S
0.5000 0.0000 0.0000 Ti
0.1720 0.3418 0.3440 V
0.8280 0.6582 0.6560 V
```

Calculated values
D(E_F) ... 0.461 states/eV/atom



Going by the energies, x is most stable and the next is 26.3 kJ/mol of atoms up.



w:
The following is a PBE calculation of crystalline TiW3S at its relaxed geometry, from the Alexandria database.

Structure (POSCAR):
```
TiW3S
1.0
4.6227 0.0000 0.0000
0.0000 4.6227 0.0000
0.0000 0.0000 4.6227
W S Ti
3 1 1
Direct
0.5000 0.0000 0.0000 W
0.0000 0.0000 0.5000 W
0.0000 0.5000 0.0000 W
0.5000 0.5000 0.5000 S
0.0000 0.0000 0.0000 Ti
```

Calculated values
D(E_F) ... 1.208 states/eV/atom



x:
The following is a PBE calculation of crystalline TiW3S at its relaxed geometry, from the Alexandria database.

Structure (POSCAR):
```
TiW3S
1.0
-3.9527 -1.5246 -1.2703
0.9918 -3.9699 1.6787
-1.7188 1.2153 3.8898
S W Ti
1 3 1
Direct
0.0000 0.0000 0.0000 S
0.0000 0.0000 0.5000 W
0.5000 0.0000 0.0000 W
0.0000 0.5000 0.0000 W
0.5000 0.5000 0.5000 Ti
```

Calculated values
D(E_F) ... 1.439 states/eV/atom



Going by the energies, x is most stable and the next is 149.6 kJ/mol of atoms up.



w:
The following is a PBE calculation of crystalline Ti3WS at its relaxed geometry, from the Alexandria database.

Structure (POSCAR):
```
Ti3WS
1.0
-3.8221 1.2597 -2.6150
-0.6453 -4.5844 -1.2652
-2.8300 -0.6560 3.8203
W Ti S
1 3 1
Direct
0.0000 0.0000 0.0000 W
0.5000 0.0000 0.0000 Ti
0.0000 0.0000 0.5000 Ti
0.0000 0.5000 0.0000 Ti
0.5000 0.5000 0.5000 S
```

Calculated values
D(E_F) ... 1.151 states/eV/atom



x:
The following is a PBE calculation of crystalline Ti3WS at its relaxed geometry, from the Alexandria database.

Structure (POSCAR):
```
Ti3WS
1.0
4.4206 0.0000 0.0000
0.0000 4.4206 0.0000
0.0000 0.0000 4.4206
Ti W S
3 1 1
Direct
0.5000 0.0000 0.0000 Ti
0.0000 0.0000 0.5000 Ti
0.0000 0.5000 0.0000 Ti
0.5000 0.5000 0.5000 W
0.0000 0.0000 0.0000 S
```

Calculated values
D(E_F) ... 0.941 states/eV/atom



Going by the energies, x is most stable and the next is 98.3 kJ/mol of atoms up.



w:
The following is a PBE calculation of crystalline TiWS3 at its relaxed geometry, from the Alexandria database.

Structure (POSCAR):
```
TiWS3
1.0
-3.6028 -1.9758 -2.1952
2.9137 -2.9441 -2.1320
-0.4831 -3.0218 3.5126
S Ti W
3 1 1
Direct
0.5000 0.0000 0.0000 S
0.0000 0.5000 0.0000 S
0.0000 0.0000 0.5000 S
0.5000 0.5000 0.5000 Ti
0.0000 0.0000 0.0000 W
```

Calculated values
D(E_F) ... 1.835 states/eV/atom



x:
The following is a PBE calculation of crystalline TiWS3 at its relaxed geometry, from the Alexandria database.

Structure (POSCAR):
```
TiWS3
1.0
-1.3745 1.0674 -4.2913
-4.4220 -0.3554 1.3280
-0.0232 4.4920 1.1248
S W Ti
3 1 1
Direct
0.0000 0.0000 0.5000 S
0.0000 0.5000 0.0000 S
0.5000 0.0000 0.0000 S
0.5000 0.5000 0.5000 W
0.0000 0.0000 0.0000 Ti
```

Calculated values
D(E_F) ... 0.744 states/eV/atom



Going by the energies, w is most stable and the next is 23.4 kJ/mol of atoms up.



w:
The following is a PBE calculation of crystalline YTi3S at its relaxed geometry, from the Alexandria database.

Structure (POSCAR):
```
YTi3S
1.0
-1.2852 -3.8577 -2.7331
0.3570 -2.9034 3.9302
-4.7143 0.8318 1.0427
Ti S Y
3 1 1
Direct
0.0000 0.0000 0.5000 Ti
0.0000 0.5000 0.0000 Ti
0.5000 0.0000 0.0000 Ti
0.5000 0.5000 0.5000 S
0.0000 0.0000 0.0000 Y
```

Calculated values
D(E_F) ... 1.426 states/eV/atom



x:
The following is a PBE calculation of crystalline YTi3S at its relaxed geometry, from the Alexandria database.

Structure (POSCAR):
```
YTi3S
1.0
4.6410 0.0000 0.0000
0.0000 4.6410 0.0000
0.0000 0.0000 4.6410
Ti S Y
3 1 1
Direct
0.0000 0.5000 0.0000 Ti
0.0000 0.0000 0.5000 Ti
0.5000 0.0000 0.0000 Ti
0.0000 0.0000 0.0000 S
0.5000 0.5000 0.5000 Y
```

Calculated values
D(E_F) ... 0.811 states/eV/atom



Going by the energies, x is most stable and the next is 197.6 kJ/mol of atoms up.



w:
The following is a PBE calculation of crystalline TiZnS3 at its relaxed geometry, from the Alexandria database.

Structure (POSCAR):
```
TiZnS3
1.0
-3.0894 -3.4508 0.7889
2.5627 -2.9027 -2.6610
2.4419 -1.3194 3.7909
S Zn Ti
3 1 1
Direct
0.5000 0.0000 0.0000 S
0.0000 0.0000 0.5000 S
0.0000 0.5000 0.0000 S
0.5000 0.5000 0.5000 Zn
0.0000 0.0000 0.0000 Ti
```

Calculated values
D(E_F) ... 0.398 states/eV/atom



x:
The following is a PBE calculation of crystalline TiZnS3 at its relaxed geometry, from the Alexandria database.

Structure (POSCAR):
```
TiZnS3
1.0
4.5740 0.0000 0.0000
0.0000 4.5740 0.0000
0.0000 0.0000 4.5740
S Ti Zn
3 1 1
Direct
0.0000 0.5000 0.0000 S
0.5000 0.0000 0.0000 S
0.0000 0.0000 0.5000 S
0.5000 0.5000 0.5000 Ti
0.0000 0.0000 0.0000 Zn
```

Calculated values
D(E_F) ... 1.527 states/eV/atom



Going by the energies, w is most stable and the next is 59.7 kJ/mol of atoms up.